Compound: TbFeIrO6
Source: Alexandria
Functional: PBE+U
Structure: optimized geometry

Cell and atoms, written as POSCAR:
```
TbFeIrO6
1.0
5.356 0.000 0.000
-2.678 4.638 0.000
0.000 0.000 8.683
Tb Fe Ir O
2 2 2 12
direct
0.333 0.667 0.250 Tb
0.667 0.333 0.750 Tb
0.000 0.000 0.000 Fe
0.000 0.000 0.500 Fe
0.667 0.333 0.250 Ir
0.333 0.667 0.750 Ir
0.691 0.647 0.122 O
0.957 0.309 0.122 O
0.309 0.957 0.622 O
0.043 0.691 0.878 O
0.353 0.309 0.378 O
0.957 0.647 0.378 O
0.647 0.957 0.878 O
0.691 0.043 0.378 O
0.043 0.353 0.622 O
0.353 0.043 0.122 O
0.647 0.691 0.622 O
0.309 0.353 0.878 O
```

Summary:
energy	-62.586	eV/f.u.